(1)
Material: SrRePt2
Method: DFT, GGA-PBE
State: relaxed

abc: 2.857 4.754 5.572
angles: 90.00 95.83 90.00
Space group Pm (No. 6)
One atom of each set of equivalent atoms:
Sr  0.000  0.000  0.000 (multiplicity 1)
Re  0.136  0.500  0.603 (multiplicity 1)
Pt  0.541  0.500  0.191 (multiplicity 1)
Pt  0.553  0.000  0.511 (multiplicity 1)

Values from the calculation:
The calculation puts the density of states at the Fermi level at 2.729 states/eV/f.u. The formation energy comes out at 0.061 eV per atom. For the energy above the most stable polymorph in this dataset, the calculation gives 125 meV/atom. For the volume, the calculation gives 18.82 Å³ per atom.



(2)
Material: HgPd3Pt2
Method: DFT, GGA-PBE
State: relaxed

abc: 5.549 14.020 5.227
angles: 90.00 90.00 90.00
Space group Cmcm (No. 63)
One atom of each set of equivalent atoms:
Hg  0.000  0.158  0.250 (multiplicity 4)
Pd  0.000  0.347  0.750 (multiplicity 4)
Pd  0.248  0.171  0.750 (multiplicity 8)
Pt  0.245  0.500  0.000 (multiplicity 8)

Values from the calculation:
The calculation puts the density of states at the Fermi level at 6.945 states/eV/f.u. The formation energy comes out at 0.067 eV per atom. For the volume, the calculation gives 16.94 Å³ per atom.



(3)
Material: ThAl2ZnPd2
Method: DFT, GGA-PBE
State: relaxed

abc: 4.628 4.628 5.660
angles: 90.00 90.00 90.00
Space group P4/mmm (No. 123)
One atom of each set of equivalent atoms:
Th  0.000  0.000  0.000 (multiplicity 1)
Al  0.500  0.500  0.243 (multiplicity 2)
Zn  0.000  0.000  0.500 (multiplicity 1)
Pd  0.000  0.500  0.500 (multiplicity 2)

Values from the calculation:
The calculation puts the density of states at the Fermi level at 4.233 states/eV/f.u. The formation energy comes out at -0.326 eV per atom. For the volume, the calculation gives 20.21 Å³ per atom.



(4)
Material: Zr2IrPd
Method: DFT, GGA-PBE
State: relaxed

abc: 2.947 5.094 10.332
angles: 90.00 90.00 90.00
Space group Immm (No. 71)
One atom of each set of equivalent atoms:
Zr  0.000  0.000  0.247 (multiplicity 4)
Ir  0.000  0.000  0.000 (multiplicity 2)
Pd  0.000  0.000  0.500 (multiplicity 2)

Values from the calculation:
The calculation puts the density of states at the Fermi level at 2.912 states/eV/f.u. The formation energy comes out at 0.188 eV per atom. For the volume, the calculation gives 19.39 Å³ per atom.



(5)
Material: MnRh2Br
Method: DFT, GGA-PBE
State: relaxed

abc: 4.518 4.518 3.103
angles: 90.00 90.00 90.00
Space group P4/mmm (No. 123)
One atom of each set of equivalent atoms:
Mn  0.000  0.000  0.000 (multiplicity 1)
Rh  0.000  0.500  0.500 (multiplicity 2)
Br  0.500  0.500  0.000 (multiplicity 1)

Values from the calculation:
The calculation puts the density of states at the Fermi level at 4.249 states/eV/f.u. Its uncorrected formation energy is 415 meV per atom. For the energy above the most stable polymorph in this dataset, the calculation gives 189 meV/atom. For the volume, the calculation gives 15.84 Å³ per atom.



(6)
Material: NaSrZn2Fe
Method: DFT, GGA-PBE
State: relaxed

abc: 5.907 5.907 6.399
angles: 90.00 90.00 90.00
Space group P4/mmm (No. 123)
One atom of each set of equivalent atoms:
Na  0.000  0.000  0.000 (multiplicity 1)
Sr  0.000  0.000  0.500 (multiplicity 1)
Zn  0.000  0.500  0.500 (multiplicity 2)
Fe  0.500  0.500  0.000 (multiplicity 1)

Values from the calculation:
The calculation puts the density of states at the Fermi level at 15.437 states/eV/f.u. The formation energy comes out at 1.388 eV per atom. For the volume, the calculation gives 44.65 Å³ per atom.



(7)
Material: Dy2TmAgHg4
Method: DFT, GGA-PBE
State: relaxed

abc: 5.1029 5.1029 25.5280
angles: 90.00 90.00 120.00
Space group R-3m (No. 166, hexagonal axes)
One atom of each set of equivalent atoms:
Dy  0.0000  0.0000  0.2430 (multiplicity 6)
Tm  0.0000  0.0000  0.0000 (multiplicity 3)
Ag  0.0000  0.0000  0.5000 (multiplicity 3)
Hg  0.0000  0.0000  0.1231 (multiplicity 6)
Hg  0.0000  0.0000  0.3716 (multiplicity 6)

Values from the calculation:
The calculation puts the density of states at the Fermi level at 5.402 states/eV/f.u. The formation energy comes out at -0.401 eV per atom. For the volume, the calculation gives 23.99 Å³ per atom.



(8)
Material: Pm8MgIr2
Method: DFT, GGA-PBE
State: relaxed

abc: 8.823 13.822 5.669
angles: 90.00 102.26 90.00
Space group C2/m (No. 12)
One atom of each set of equivalent atoms:
Pm  0.000  0.245  0.000 (multiplicity 4)
Pm  0.103  0.000  0.797 (multiplicity 4)
Pm  0.202  0.372  0.565 (multiplicity 8)
Mg  0.000  0.500  0.000 (multiplicity 2)
Ir  0.000  0.197  0.500 (multiplicity 4)

Values from the calculation:
The calculation puts the density of states at the Fermi level at 14.460 states/eV/f.u. The formation energy comes out at -0.257 eV per atom. For the volume, the calculation gives 30.71 Å³ per atom.



(9)
Material: Y6Te5As
Method: DFT, GGA-PBE
State: relaxed

abc: 7.498 13.018 7.505
angles: 90.00 109.37 90.00
Space group C2/m (No. 12)
One atom of each set of equivalent atoms:
Y  0.225  0.000  0.263 (multiplicity 4)
Y  0.228  0.153  0.729 (multiplicity 8)
Te  0.000  0.176  0.000 (multiplicity 4)
Te  0.000  0.335  0.500 (multiplicity 4)
Te  0.000  0.500  0.000 (multiplicity 2)
As  0.000  0.000  0.500 (multiplicity 2)

Values from the calculation:
The calculation puts the density of states at the Fermi level at 5.879 states/eV/f.u. Its uncorrected formation energy is -1396 meV per atom. For the volume, the calculation gives 28.80 Å³ per atom.



(10)
Material: Ni2RhW
Method: DFT, GGA-PBE
State: relaxed

abc: 5.955 5.955 5.955
angles: 90.00 90.00 90.00
Space group F-43m (No. 216)
One atom of each set of equivalent atoms:
Ni  0.000  0.000  0.000 (multiplicity 4)
Ni  0.250  0.250  0.250 (multiplicity 4)
Rh  0.000  0.000  0.500 (multiplicity 4)
W  0.250  0.250  0.750 (multiplicity 4)

Values from the calculation:
The calculation puts the density of states at the Fermi level at 4.576 states/eV/f.u. The formation energy comes out at 0.068 eV per atom. For the energy above the most stable polymorph in this dataset, the calculation gives 222 meV/atom. For the volume, the calculation gives 13.20 Å³ per atom.



(11)
Material: Na2Al2Tl
Method: DFT, GGA-PBE
State: relaxed

abc: 4.237 4.237 14.543
angles: 90.00 90.00 90.00
Space group I4/mmm (No. 139)
One atom of each set of equivalent atoms:
Na  0.000  0.500  0.250 (multiplicity 4)
Al  0.000  0.000  0.089 (multiplicity 4)
Tl  0.000  0.000  0.500 (multiplicity 2)

Values from the calculation:
The calculation puts the density of states at the Fermi level at 2.252 states/eV/f.u. The formation energy comes out at 0.279 eV per atom. For the energy above the most stable polymorph in this dataset, the calculation gives 153 meV/atom. For the volume, the calculation gives 26.11 Å³ per atom.



(12)
Material: Cd4HgBi3
Method: DFT, GGA-PBE
State: relaxed

abc: 9.075 9.858 4.953
angles: 90.00 90.00 90.00
Space group Pmmn (No. 59, origin choice 2)
One atom of each set of equivalent atoms:
Cd  0.000  0.000  0.000 (multiplicity 4)
Cd  0.011  0.250  0.436 (multiplicity 4)
Hg  0.250  0.250  0.016 (multiplicity 2)
Bi  0.250  0.008  0.574 (multiplicity 4)
Bi  0.250  0.750  0.143 (multiplicity 2)

Values from the calculation:
The calculation puts the density of states at the Fermi level at 2.301 states/eV/f.u. The formation energy comes out at 0.068 eV per atom. For the energy above the most stable polymorph in this dataset, the calculation gives 29 meV/atom. For the volume, the calculation gives 27.69 Å³ per atom.



| no. | uncorrected energy (eV per cell) |
| --- | --- |
| 1 | -26.0 |
| 2 | -110.2 |
| 3 | -28.5 |
| 4 | -60.8 |
| 5 | -23.9 |
| 6 | -7.1 |
| 7 | -62.8 |
| 8 | -120.3 |
| 9 | -151.8 |
| 10 | -126.4 |
| 11 | -22.2 |
| 12 | -30.1 |